1.
PaCuH6Ru | PBE | optimized geometry

final energy: -4.94 eV/atom

a = 4.5002 Å, b = 4.5002 Å, c = 4.2423 Å
α = 90.00°, β = 90.00°, γ = 60.00°
Element x y z (fractional)
Pa (0.0000, 0.0000, 0.0000)
Cu (0.6666, 0.6667, 0.5000)
H (0.0046, 0.4977, 0.2198)
H (0.4976, 0.0047, 0.7802)
H (0.4977, 0.4977, 0.7802)
H (0.0046, 0.4977, 0.7802)
H (0.4976, 0.4977, 0.2198)
H (0.4977, 0.0046, 0.2198)
Ru (0.3333, 0.3333, 0.5000)



2.
Pr4NiTeI2 | PBE | optimized geometry

final energy: -4.80 eV/atom
ΔE_f (raw): -0.9065 eV per atom

a = 4.2248 Å, b = 7.9829 Å, c = 8.1293 Å
α = 106.50°, β = 90.00°, γ = 90.00°
Element x y z (fractional)
Pr (0.5000, 0.2648, 0.2088)
Pr (0.5000, 0.7352, 0.7912)
Pr (0.0000, 0.3017, 0.8080)
Pr (0.0000, 0.6983, 0.1920)
Ni (0.5000, 0.5000, 0.0000)
Te (0.0000, 0.0000, 0.0000)
I (0.5000, 0.0000, 0.5000)
I (0.0000, 0.5000, 0.5000)



3.
BaHN | PBE | optimized geometry

final energy: -5.04 eV/atom

a = 7.2817 Å, b = 7.3543 Å, c = 3.8604 Å
α = 90.00°, β = 90.00°, γ = 90.00°
Element x y z (fractional)
H (0.7629, 0.2500, 0.2779)
H (0.7371, 0.7500, 0.7779)
H (0.2371, 0.7500, 0.7221)
H (0.2629, 0.2500, 0.2221)
Ba (0.0000, 0.0000, 0.0000)
Ba (0.5000, 0.5000, 0.5000)
Ba (0.5000, 0.0000, 0.5000)
Ba (0.0000, 0.5000, 0.0000)
N (0.3348, 0.2500, 0.9875)
N (0.1652, 0.7500, 0.4875)
N (0.6652, 0.7500, 0.0125)
N (0.8348, 0.2500, 0.5125)



no.,DOS(E_F) (states/eV/cell),total magnetic moment (Bohr magnetons per cell)
1,3.74,0.415
2,5.53,0.000
3,0.00,0.000